Entry 1:
Nd4ErHg2 after structural relaxation. Source: Alexandria, functional GGA-PBE.

Unit cell a=6.537 b=8.548 c=8.963 alpha=108.37 beta=106.26 gamma=103.67
Fractional positions:
1 Nd 0.000 0.000 0.000
2 Nd 0.004 0.527 0.453
3 Nd 0.331 0.793 0.276
4 Nd 0.391 0.963 0.736
5 Nd 0.425 0.429 0.303
6 Nd 0.528 0.591 0.771
7 Nd 0.616 0.080 0.169
8 Nd 0.818 0.398 0.025
9 Er 0.157 0.148 0.471
10 Er 0.744 0.230 0.606
11 Hg 0.085 0.642 0.853
12 Hg 0.236 0.301 0.881
13 Hg 0.792 0.857 0.593
14 Hg 0.802 0.768 0.229

Properties
E_form, eV per atom: -0.190
VASP energy, eV/atom: -3.652


Entry 2:
CrInRe2 after structural relaxation. Source: Alexandria, functional GGA-PBE.

Unit cell a=5.279 b=5.279 c=5.279 alpha=146.78 beta=129.16 gamma=62.09
Fractional positions:
1 Cr 0.000 0.000 0.000
2 In 0.500 0.500 0.000
3 Re 0.229 0.729 0.500
4 Re 0.771 0.271 0.500

Properties
E_form, eV per atom: 0.378
VASP energy, eV/atom: -8.936


Entry 3:
YNF3 after structural relaxation. Source: Alexandria, functional GGA-PBE.

Unit cell a=4.414 b=4.414 c=4.414 alpha=90.00 beta=90.00 gamma=90.00
Fractional positions:
1 Y 0.000 0.000 0.000
2 N 0.500 0.500 0.500
3 F 0.000 0.000 0.500
4 F 0.000 0.500 0.000
5 F 0.500 0.000 0.000

Properties
Offset from the most stable computed form, meV/atom: 0.0
VASP energy, eV/atom: -6.311
Formation energy without anion corrections, meV per atom: -2231